Computed, not measured: crystalline SmHo2InC at its relaxed geometry at the PBE level of DFT.

E_form	-0.469	eV per atom
space-group type	P4/mmm

a b c (Å): 5.055 4.903 4.903
angles (deg): 90.00 90.00 90.00
Fractional positions:
C1 0.000 0.000 0.000
Ho1 0.000 0.500 0.000
Ho2 0.000 0.000 0.500
In1 0.500 0.500 0.500
Sm1 0.500 0.000 0.000

***

Computed, not measured: crystalline Ce3Sm4PaAs8 at its relaxed geometry at the PBE level of DFT.

E_form	-1.438	eV per atom
space-group type	R-3m

a b c (Å): 8.397 8.391 8.397
angles (deg): 120.03 120.00 90.00
Fractional positions:
As1 0.749 0.748 0.498
As2 0.245 0.745 0.999
As3 0.246 0.255 0.001
As4 0.755 0.255 0.509
As5 0.245 0.745 0.491
As6 0.754 0.745 0.999
As7 0.251 0.252 0.502
As8 0.755 0.255 0.001
Ce1 0.000 0.500 0.500
Ce2 0.500 0.500 0.000
Ce3 0.500 0.500 0.500
Sm1 0.000 0.000 0.500
Sm2 0.500 0.000 0.500
Sm3 0.000 0.000 0.000
Sm4 0.500 0.000 0.000
Pa1 0.000 0.500 0.000